(1)
Below is crystalline Rb3LiPb4 at its relaxed geometry, with properties calculated at the GGA-PBEsol level.

The calculation puts the density of states at the Fermi level at 0.11 states/eV/f.u. For the total DFT energy (no corrections), the calculation gives -2.871 eV per atom. For the energy of formation, the calculation gives -1.93 eV/f.u.

The structure belongs to space group Cmcm (No. 63); the cell edges are 7.067, 16.371 and 10.549 Å and the angles 90.00°, 90.00° and 90.00°. The distinct sites, in fractional coordinates, are Rb at (0.000, 0.114, 0.045), Rb at (0.000, 0.276, 0.750), Li at (0.000, 0.500, 0.000), Pb at (0.000, 0.332, 0.106) and Pb at (0.225, 0.465, 0.250).

(2)
Below is crystalline RbLi3Pb at its relaxed geometry, with properties calculated at the GGA-PBEsol level.

The calculation puts the density of states at the Fermi level at 0.40 states/eV/f.u. For the total DFT energy (no corrections), the calculation gives -2.343 eV per atom. For the energy of formation, the calculation gives -0.79 eV/f.u.

The structure belongs to space group Pm-3m (No. 221); the cell edges are 5.389, 5.389 and 5.389 Å and the angles 90.00°, 90.00° and 90.00°. The distinct sites, in fractional coordinates, are Rb at (0.000, 0.000, 0.000), Li at (0.000, 0.500, 0.500) and Pb at (0.500, 0.500, 0.500).

(3)
Below is crystalline RbLiPbW2 at its relaxed geometry, with properties calculated at the GGA-PBEsol level.

The calculation puts the density of states at the Fermi level at 5.24 states/eV/f.u. For the total DFT energy (no corrections), the calculation gives -4.818 eV per atom. For the energy of formation, the calculation gives 10.52 eV/f.u.

The structure belongs to space group P4/mmm (No. 123); the cell edges are 4.646, 4.646 and 4.896 Å and the angles 90.00°, 90.00° and 90.00°. The distinct sites, in fractional coordinates, are Rb at (0.000, 0.000, 0.000), Li at (0.500, 0.500, 0.500), Pb at (0.500, 0.500, 0.000) and W at (0.000, 0.500, 0.500).

(4)
Below is crystalline LiRe2Pb at its relaxed geometry, with properties calculated at the GGA-PBEsol level.

The calculation puts the density of states at the Fermi level at 3.05 states/eV/f.u. For the total DFT energy (no corrections), the calculation gives -7.075 eV per atom. For the energy of formation, the calculation gives 4.33 eV/f.u.

The structure belongs to space group Cmmm (No. 65); the cell edges are 3.128, 4.464 and 9.881 Å and the angles 90.00°, 90.00° and 90.00°. The distinct sites, in fractional coordinates, are Li at (0.000, 0.000, 0.000), Re at (0.000, 0.500, 0.229) and Pb at (0.000, 0.000, 0.500).

(5)
Below is crystalline Li2Re2Pb at its relaxed geometry, with properties calculated at the GGA-PBEsol level.

The calculation puts the density of states at the Fermi level at 2.96 states/eV/f.u. For the total DFT energy (no corrections), the calculation gives -6.362 eV per atom. For the energy of formation, the calculation gives 2.78 eV/f.u.

The structure belongs to space group I4/mmm (No. 139); the cell edges are 3.552, 3.552 and 13.646 Å and the angles 90.00°, 90.00° and 90.00°. The distinct sites, in fractional coordinates, are Li at (0.000, 0.000, 0.100), Re at (0.000, 0.500, 0.250) and Pb at (0.000, 0.000, 0.500).

(6)
Below is crystalline LiRe2Pb at its relaxed geometry, with properties calculated at the GGA-PBEsol level.

The calculation puts the density of states at the Fermi level at 1.89 states/eV/f.u. For the total DFT energy (no corrections), the calculation gives -7.568 eV per atom. For the energy of formation, the calculation gives 2.36 eV/f.u.

The structure belongs to space group Cm (No. 8); the cell edges are 8.396, 3.112 and 5.337 Å and the angles 90.00°, 98.41° and 90.00°. The distinct sites, in fractional coordinates, are Li at (0.000, 0.000, 0.000), Re at (0.261, 0.500, 0.274), Re at (0.483, 0.000, 0.430) and Pb at (0.243, 0.000, 0.763).

(7)
Below is crystalline LiRe2Pb at its relaxed geometry, with properties calculated at the GGA-PBEsol level.

The calculation puts the density of states at the Fermi level at 2.00 states/eV/f.u. For the total DFT energy (no corrections), the calculation gives -7.506 eV per atom. For the energy of formation, the calculation gives 2.61 eV/f.u.

The structure belongs to space group P2/m (No. 10); the cell edges are 3.047, 4.794 and 4.705 Å and the angles 90.00°, 92.91° and 90.00°. The distinct sites, in fractional coordinates, are Li at (0.000, 0.000, 0.000), Re at (0.284, 0.500, 0.202) and Pb at (0.500, 0.000, 0.500).

(8)
Below is crystalline LiRhPb2 at its relaxed geometry, with properties calculated at the GGA-PBEsol level.

The calculation puts the density of states at the Fermi level at 2.43 states/eV/f.u. For the total DFT energy (no corrections), the calculation gives -4.564 eV per atom. For the energy of formation, the calculation gives -0.15 eV/f.u.

The structure belongs to space group Pmmm (No. 47); the cell edges are 3.586, 4.502 and 4.815 Å and the angles 90.00°, 90.00° and 90.00°. The distinct sites, in fractional coordinates, are Li at (0.000, 0.000, 0.000), Rh at (0.000, 0.500, 0.500), Pb at (0.500, 0.000, 0.500) and Pb at (0.500, 0.500, 0.000).

(9)
Below is crystalline LiRh2Pb at its relaxed geometry, with properties calculated at the GGA-PBEsol level.

The calculation puts the density of states at the Fermi level at 1.47 states/eV/f.u. For the total DFT energy (no corrections), the calculation gives -5.582 eV per atom. For the energy of formation, the calculation gives -0.09 eV/f.u.

The structure belongs to space group P4/mmm (No. 123); the cell edges are 3.207, 3.207 and 5.913 Å and the angles 90.00°, 90.00° and 90.00°. The distinct sites, in fractional coordinates, are Li at (0.000, 0.000, 0.000), Rh at (0.500, 0.500, 0.234) and Pb at (0.000, 0.000, 0.500).

(10)
Below is crystalline Li3RhPb at its relaxed geometry, with properties calculated at the GGA-PBEsol level.

The calculation puts the density of states at the Fermi level at 1.92 states/eV/f.u. For the total DFT energy (no corrections), the calculation gives -3.358 eV per atom. For the energy of formation, the calculation gives 1.25 eV/f.u.

The structure belongs to space group Pm-3m (No. 221); the cell edges are 4.544, 4.544 and 4.544 Å and the angles 90.00°, 90.00° and 90.00°. The distinct sites, in fractional coordinates, are Li at (0.000, 0.000, 0.500), Rh at (0.000, 0.000, 0.000) and Pb at (0.500, 0.500, 0.500).